A) ## CsNbF3 (GGA-PBE)

Data for a geometry-optimized CsNbF3 structure.

The structure in extended XYZ format:
```
5
Lattice="-2.972 -0.633 -2.196 -0.719 -3.161 1.884 -3.868 3.412 4.251" Properties=species:S:1:pos:R:3 pbc="T T T"
F -4.429 2.280 2.137
Nb -3.521 3.107 3.871
F -2.000 -1.761 0.014
F -3.302 1.016 4.176
Cs -3.501 -0.436 1.663
```

Space-group type: No. 99
Mass density in g/cm³: 5.0

B) ## CsNbF3 (GGA-PBE)

Data for a geometry-optimized CsNbF3 structure.

The structure in extended XYZ format:
```
5
Lattice="4.430 0.000 0.000 0.000 4.430 0.000 0.000 0.000 4.430" Properties=species:S:1:pos:R:3 pbc="T T T"
F 2.215 0.000 2.215
F 0.000 2.215 2.215
F 2.215 2.215 0.000
Nb 2.215 2.215 2.215
Cs 0.000 0.000 0.000
```

Space-group type: No. 221
Mass density in g/cm³: 5.4

C) ## CsNbF3 (GGA-PBE)

Data for a geometry-optimized CsNbF3 structure.

The structure in extended XYZ format:
```
10
Lattice="3.121 1.802 5.784 -3.121 1.802 5.784 0.000 -3.604 5.784" Properties=species:S:1:pos:R:3 pbc="T T T"
F 2.085 0.195 10.660
Cs 0.000 0.000 14.904
F 0.874 1.903 6.693
Nb 0.000 0.000 5.984
F -2.085 -0.195 6.693
Nb 0.000 0.000 11.368
F -1.211 1.708 10.660
F -0.874 -1.903 10.660
F 1.211 -1.708 6.693
Cs 0.000 0.000 2.449
```

Space-group type: No. 148
Mass density in g/cm³: 4.8

Stability ranking, top entry: B); the second entry is 61 meV/atom less favorable.

A) ## CsNbF3 (GGA-PBE)

Data for a geometry-optimized CsNbF3 structure.

The structure in extended XYZ format:
```
10
Lattice="3.469 2.003 5.404 -3.469 2.003 5.404 0.000 -4.005 5.404" Properties=species:S:1:pos:R:3 pbc="T T T"
F -1.472 -2.003 6.755
F -0.998 2.276 6.755
F -2.470 0.274 9.457
F 2.470 -0.274 6.755
F 1.472 2.003 9.457
Cs 0.000 0.000 0.000
Nb 0.000 0.000 12.159
F 0.998 -2.276 9.457
Cs 0.000 0.000 8.106
Nb 0.000 0.000 4.053
```

Space-group type: No. 167
Mass density in g/cm³: 4.2

B) ## CsNbF3 (GGA-PBE)

Data for a geometry-optimized CsNbF3 structure.

The structure in extended XYZ format:
```
20
Lattice="-5.740 1.323 2.474 -1.619 -8.576 0.828 2.439 0.081 5.616" Properties=species:S:1:pos:R:3 pbc="T T T"
F -0.421 -3.912 5.252
F -3.696 0.994 3.255
F -1.224 -8.166 5.662
Cs -5.669 -5.085 5.863
F -4.252 -5.089 8.592
F -4.097 -7.505 6.891
F -0.823 0.333 2.026
F -3.294 -3.251 6.480
F -2.322 -1.381 4.362
F -2.598 -5.791 4.556
Cs 0.749 -2.087 3.055
Nb -1.650 0.702 4.045
Nb -0.810 -4.288 0.414
Nb 0.000 0.000 0.000
F -0.668 -2.083 0.325
Nb -2.460 -3.586 4.459
F -4.499 -3.259 3.666
F -1.626 -3.921 2.437
Cs -4.010 -5.786 1.837
Cs -0.910 -1.385 7.081
```

Space-group type: No. 62
Mass density in g/cm³: 5.5

Stability ranking, top entry: B); the second entry is 185 meV/atom less favorable.

A) ## Cs2PdF4 (GGA-PBE)

Data for a geometry-optimized Cs2PdF4 structure.

The structure in extended XYZ format:
```
7
Lattice="0.743 -1.612 5.600 -1.047 -5.676 1.098 4.194 -0.563 -1.159" Properties=species:S:1:pos:R:3 pbc="T T T"
F 1.251 -1.968 3.715
F 2.639 -5.883 1.824
F 3.621 -3.654 4.294
F 0.270 -4.197 1.245
Cs 1.109 -5.011 4.081
Cs 2.781 -2.840 1.458
Pd 0.000 0.000 0.000
```

Space-group type: No. 12
Mass density in g/cm³: 5.5

B) ## Cs2PdF4 (GGA-PBE)

Data for a geometry-optimized Cs2PdF4 structure.

The structure in extended XYZ format:
```
7
Lattice="-6.247 1.067 0.960 0.158 -3.749 5.197 0.853 3.044 2.170" Properties=species:S:1:pos:R:3 pbc="T T T"
F -4.746 -2.090 4.799
Pd 0.000 0.000 0.000
F -1.343 -0.591 1.358
F -1.255 -2.687 4.263
Cs -2.697 2.056 1.565
Cs 0.506 -0.352 3.684
F -4.835 0.005 1.894
```

Space-group type: No. 123
Mass density in g/cm³: 4.7

Stability ranking, top entry: B); the second entry is 57 meV/atom less favorable.

A) ## Cs2PtF6 (GGA-PBE)

Data for a geometry-optimized Cs2PtF6 structure.

The structure in extended XYZ format:
```
9
Lattice="4.361 -1.856 3.689 -3.994 -3.253 3.088 0.554 -0.765 -5.931" Properties=species:S:1:pos:R:3 pbc="T T T"
F 2.424 -2.180 3.549
F -2.057 -2.929 3.227
F 0.579 -4.335 2.025
Cs 2.550 -2.588 0.573
F 0.282 -3.925 5.206
F 0.342 -1.540 -1.179
Cs -1.628 -3.286 0.273
F 0.085 -1.184 1.571
Pt 0.000 0.000 0.000
```

Space-group type: No. 225
Mass density in g/cm³: 6.2

B) ## Cs2PtF6 (GGA-PBE)

Data for a geometry-optimized Cs2PtF6 structure.

The structure in extended XYZ format:
```
9
Lattice="-4.063 4.299 -1.354 -3.363 2.489 4.395 3.322 3.342 0.648" Properties=species:S:1:pos:R:3 pbc="T T T"
F 1.407 3.657 0.980
Cs -2.600 6.891 2.486
Cs -1.505 3.239 1.203
F -3.364 4.202 3.425
F -5.511 6.474 2.709
Pt 0.000 0.000 0.000
F -0.371 4.972 3.303
F -0.740 5.929 0.265
F -3.733 5.159 0.386
```

Space-group type: No. 164
Mass density in g/cm³: 6.3

Stability ranking, top entry: B); the second entry is 27 meV/atom less favorable.

A) ## CsGdFeSe3 (GGA-PBE)

Data for a geometry-optimized CsGdFeSe3 structure.

The structure in extended XYZ format:
```
24
Lattice="-8.087 -4.524 5.578 2.589 -3.118 1.225 3.985 8.189 12.419" Properties=species:S:1:pos:R:3 pbc="T T T"
Cs 3.050 4.508 8.685
Gd -1.058 -0.632 11.604
Fe -0.081 -0.419 2.763
Se -0.721 2.078 10.473
Se 0.213 2.608 17.164
Se 2.324 0.900 8.354
Gd -0.454 1.179 7.618
Fe -1.432 0.965 16.459
Cs -4.563 -3.961 10.537
Se -0.164 0.383 4.980
Se -3.633 2.141 16.788
Se -0.791 -1.531 8.749
Se 2.121 -1.594 2.434
Cs -1.223 -3.145 5.554
Se -3.836 -0.353 10.868
Fe 1.646 1.243 10.661
Se -1.348 0.164 14.242
Gd 4.435 4.610 13.335
Cs -0.289 3.692 13.668
Gd -5.947 -4.064 5.887
Se 2.865 2.774 11.980
Fe -3.158 -0.697 8.561
Se -1.725 -2.061 2.057
Se -4.377 -2.227 7.242
```

Space-group type: No. 62
Mass density in g/cm³: 5.5

B) ## CsGdFeSe3 (GGA-PBE)

Data for a geometry-optimized CsGdFeSe3 structure.

The structure in extended XYZ format:
```
24
Lattice="16.470 0.000 0.000 0.000 4.152 0.000 0.000 0.000 11.140" Properties=species:S:1:pos:R:3 pbc="T T T"
Gd 16.196 1.038 9.406
Cs 12.129 3.114 0.221
Se 6.304 3.114 8.516
Se 15.235 3.114 4.281
Gd 0.274 3.114 1.734
Se 10.166 1.038 2.624
Se 1.931 1.038 2.946
Fe 16.298 3.114 6.507
Se 14.968 1.038 0.832
Se 9.736 3.114 6.402
Se 9.470 1.038 9.851
Fe 0.172 1.038 4.633
Se 1.501 3.114 10.309
Cs 4.340 1.038 10.919
Se 14.539 3.114 8.194
Gd 8.509 3.114 3.836
Cs 12.575 1.038 5.791
Fe 8.063 3.114 10.203
Se 6.733 1.038 4.738
Se 7.000 3.114 1.289
Cs 3.894 3.114 5.349
Se 1.235 1.038 6.859
Gd 7.961 1.038 7.304
Fe 8.407 1.038 0.937
```

Space-group type: No. 62
Mass density in g/cm³: 5.1

C) ## CsGdFeSe3 (GGA-PBE)

Data for a geometry-optimized CsGdFeSe3 structure.

The structure in extended XYZ format:
```
24
Lattice="10.967 0.000 0.000 0.000 4.219 0.000 0.000 0.000 15.595" Properties=species:S:1:pos:R:3 pbc="T T T"
Se 8.246 0.000 12.573
Se 4.770 2.109 13.559
Se 2.721 2.109 3.022
Se 4.754 0.000 5.733
Cs 8.211 0.000 7.674
Fe 2.759 2.109 12.201
Gd 5.470 2.109 3.879
Se 10.254 2.109 9.834
Se 6.197 0.000 2.036
Fe 8.242 2.109 11.192
Se 2.763 0.000 10.820
Fe 8.208 0.000 3.394
Cs 2.755 2.109 7.921
Se 6.213 2.109 9.862
Cs 8.239 2.109 15.472
Se 8.204 2.109 4.775
Se 10.237 0.000 2.064
Cs 2.728 0.000 0.123
Gd 0.013 0.000 11.677
Gd 5.497 0.000 11.716
Fe 2.725 0.000 4.403
Gd 10.953 2.109 3.919
Se 0.713 0.000 5.762
Se 0.730 2.109 13.531
```

Space-group type: No. 62
Mass density in g/cm³: 5.4

D) ## CsGdFeSe3 (GGA-PBE)

Data for a geometry-optimized CsGdFeSe3 structure.

The structure in extended XYZ format:
```
12
Lattice="8.730 -2.178 0.000 8.730 2.178 0.000 -1.888 0.000 9.136" Properties=species:S:1:pos:R:3 pbc="T T T"
Gd 13.793 0.000 3.930
Fe 7.350 0.000 6.691
Fe 8.223 0.000 2.445
Gd 1.780 0.000 5.206
Cs 12.993 0.000 8.579
Se 4.683 0.000 5.841
Se -0.944 0.000 4.568
Se 8.730 0.000 0.000
Se 10.890 0.000 3.295
Cs 2.580 0.000 0.558
Se 9.841 0.000 6.948
Se 5.731 0.000 2.188
```

Space-group type: No. 12
Mass density in g/cm³: 5.6

Stability ranking, top entry: B); the second entry is 9 meV/atom less favorable.

A) ## CsFeHg (GGA-PBE)

Data for a geometry-optimized CsFeHg structure.

The structure in extended XYZ format:
```
3
Lattice="0.000 3.863 3.863 3.863 0.000 3.863 3.863 3.863 0.000" Properties=species:S:1:pos:R:3 pbc="T T T"
Hg 5.794 5.794 5.794
Cs 1.931 1.931 1.931
Fe 0.000 0.000 0.000
```

Space-group type: No. 216
Mass density in g/cm³: 5.6

B) ## CsFeHg (GGA-PBE)

Data for a geometry-optimized CsFeHg structure.

The structure in extended XYZ format:
```
3
Lattice="0.000 3.960 3.960 3.960 0.000 3.960 3.960 3.960 0.000" Properties=species:S:1:pos:R:3 pbc="T T T"
Fe 5.940 5.940 5.940
Hg 0.000 0.000 0.000
Cs 1.980 1.980 1.980
```

Space-group type: No. 216
Mass density in g/cm³: 5.2

Stability ranking, top entry: A); the second entry is 92 meV/atom less favorable.

A) ## CsFeHgTe3 (GGA-PBE)

Data for a geometry-optimized CsFeHgTe3 structure.

The structure in extended XYZ format:
```
12
Lattice="-7.547 4.434 -1.950 5.952 -6.618 -1.089 -5.783 -6.465 7.681" Properties=species:S:1:pos:R:3 pbc="T T T"
Te -8.850 0.179 1.792
Hg -8.311 2.260 0.014
Fe -0.797 -1.092 -1.519
Te -3.160 -1.958 0.342
Cs -8.412 -3.257 4.032
Te 1.473 -8.828 2.850
Te -6.245 3.091 -1.668
Te -1.132 -11.740 6.310
Fe -3.689 -4.325 2.321
Cs 1.035 -5.392 0.610
Te -4.217 -6.692 4.300
Hg 0.934 -10.909 4.629
```

Space-group type: No. 63
Mass density in g/cm³: 6.2

B) ## CsFeHgTe3 (GGA-PBE)

Data for a geometry-optimized CsFeHgTe3 structure.

The structure in extended XYZ format:
```
12
Lattice="10.775 0.000 0.000 0.000 4.003 0.000 -4.069 0.000 10.012" Properties=species:S:1:pos:R:3 pbc="T T T"
Te 6.801 3.002 4.710
Te 4.706 1.001 1.897
Fe -1.675 3.002 5.837
Hg -0.089 1.001 9.134
Te 1.999 3.002 8.115
Cs 5.283 1.001 7.719
Hg 6.794 3.002 0.878
Cs 1.423 3.002 2.293
Te 8.896 1.001 1.641
Te -2.190 3.002 8.371
Fe 8.380 1.001 4.175
Te -0.096 1.001 5.302
```

Space-group type: No. 11
Mass density in g/cm³: 5.9

Stability ranking, top entry: B); the second entry is 49 meV/atom less favorable.

A) ## CsMgFeS3 (GGA-PBE)

Data for a geometry-optimized CsMgFeS3 structure.

The structure in extended XYZ format:
```
12
Lattice="-3.471 4.453 -6.108 -3.064 -1.905 0.352 -1.751 4.512 9.185" Properties=species:S:1:pos:R:3 pbc="T T T"
S -1.461 0.714 0.478
S -6.824 6.345 2.950
S -4.543 3.412 6.929
S -3.743 3.647 -3.500
Cs -3.751 5.014 3.828
Cs -4.535 2.045 -0.399
S -3.791 1.567 3.483
Mg -3.396 1.392 5.969
Fe -5.766 3.238 -4.656
S -4.494 5.492 -0.054
Fe -2.520 3.821 8.084
Mg -4.889 5.667 -2.541
```

Space-group type: No. 11
Mass density in g/cm³: 3.5

B) ## CsMgFeS3 (GGA-PBE)

Data for a geometry-optimized CsMgFeS3 structure.

The structure in extended XYZ format:
```
12
Lattice="1.906 -7.849 0.000 1.906 7.849 0.000 0.000 0.000 10.011" Properties=species:S:1:pos:R:3 pbc="T T T"
Cs 1.906 3.825 2.503
Mg 1.906 0.441 7.508
Fe 0.000 0.000 5.006
Cs 1.906 -3.825 7.508
S 1.906 -1.582 4.607
S 1.906 -6.900 2.503
S 1.906 -1.582 0.398
S 1.906 1.582 5.404
S 1.906 1.582 9.613
Fe 0.000 0.000 0.000
Mg 1.906 -0.441 2.503
S 1.906 6.900 7.508
```

Space-group type: No. 63
Mass density in g/cm³: 3.4

Stability ranking, top entry: A); the second entry is 85 meV/atom less favorable.

A) ## CsMgFeTc (GGA-PBE)

Data for a geometry-optimized CsMgFeTc structure.

The structure in extended XYZ format:
```
4
Lattice="0.000 3.456 3.456 3.456 0.000 3.456 3.456 3.456 0.000" Properties=species:S:1:pos:R:3 pbc="T T T"
Tc 1.728 1.728 1.728
Mg 5.185 5.185 5.185
Cs 3.456 3.456 3.456
Fe 0.000 0.000 0.000
```

Space-group type: No. 216
Mass density in g/cm³: 6.3

B) ## CsMgFeTc (GGA-PBE)

Data for a geometry-optimized CsMgFeTc structure.

The structure in extended XYZ format:
```
4
Lattice="0.000 3.440 3.440 3.440 0.000 3.440 3.440 3.440 0.000" Properties=species:S:1:pos:R:3 pbc="T T T"
Fe 0.000 0.000 0.000
Tc 3.440 3.440 3.440
Mg 5.161 5.161 5.161
Cs 1.720 1.720 1.720
```

Space-group type: No. 216
Mass density in g/cm³: 6.3

C) ## CsMgFeTc (GGA-PBE)

Data for a geometry-optimized CsMgFeTc structure.

The structure in extended XYZ format:
```
4
Lattice="0.000 3.508 3.508 3.508 0.000 3.508 3.508 3.508 0.000" Properties=species:S:1:pos:R:3 pbc="T T T"
Cs 0.000 0.000 0.000
Tc 3.508 3.508 3.508
Fe 1.754 1.754 1.754
Mg 5.262 5.262 5.262
```

Space-group type: No. 216
Mass density in g/cm³: 6.0

Stability ranking, top entry: A); the second entry is 6 meV/atom less favorable.